Record 1
# Zn3Mo4W2C3 | OQMD | PBE-GGA | relaxed
data_Zn3Mo4W2C3
_chemical_formula_sum 'Zn12 Mo16 W8 C12'
_cell_length_a 9.0788
_cell_length_b 5.2421
_cell_length_c 13.8710
_cell_angle_alpha 90.00
_cell_angle_beta 102.58
_cell_angle_gamma 90.00
_symmetry_space_group_name_H-M 'C 1 2/c 1'
_symmetry_Int_Tables_number 15
loop_
_symmetry_equiv_pos_as_xyz
'x,y,z'
'-x,-y,-z'
'-x,y,-z+1/2'
'x,-y,z+1/2'
'x+1/2,y+1/2,z'
'-x+1/2,-y+1/2,-z'
'-x+1/2,y+1/2,-z+1/2'
'x+1/2,-y+1/2,z+1/2'
loop_
_atom_site_label
_atom_site_fract_x
_atom_site_fract_y
_atom_site_fract_z
Zn1 0.0000 0.0880 0.2500
Zn2 0.1651 0.4165 0.7496
Mo1 0.1129 0.0808 0.5885
Mo2 0.2193 0.0843 0.9115
W1 0.0553 0.4156 0.4126
C1 0.0827 0.2518 0.0000
C2 0.2500 0.2500 0.5000
# DFT total energy	-401.152	eV/cell

Record 2
# YMoC3 | OQMD | PBE-GGA | relaxed
data_YMoC3
_chemical_formula_sum 'Y2 Mo2 C6'
_cell_length_a 4.9901
_cell_length_b 3.7136
_cell_length_c 6.1301
_cell_angle_alpha 90.00
_cell_angle_beta 102.32
_cell_angle_gamma 90.00
_symmetry_space_group_name_H-M 'P 1 21/m 1'
_symmetry_Int_Tables_number 11
loop_
_symmetry_equiv_pos_as_xyz
'x,y,z'
'-x,-y,-z'
'-x,y+1/2,-z'
'x,-y+1/2,z'
loop_
_atom_site_label
_atom_site_fract_x
_atom_site_fract_y
_atom_site_fract_z
Y1 0.1794 0.2500 0.2038
Mo1 0.3216 0.2500 0.7209
C1 0.1120 0.7500 0.4909
C2 0.3308 0.7500 0.9705
C3 0.3871 0.7500 0.4931
# DFT total energy	-84.904	eV/cell

Record 3
# YZrMo2C3 | OQMD | PBE-GGA | relaxed
data_YZrMo2C3
_chemical_formula_sum 'Y2 Zr2 Mo4 C6'
_cell_length_a 11.3124
_cell_length_b 3.3100
_cell_length_c 5.5788
_cell_angle_alpha 90.00
_cell_angle_beta 109.19
_cell_angle_gamma 90.00
_symmetry_space_group_name_H-M 'C 1 m 1'
_symmetry_Int_Tables_number 8
loop_
_symmetry_equiv_pos_as_xyz
'x,y,z'
'x,-y,z'
'x+1/2,y+1/2,z'
'x+1/2,-y+1/2,z'
loop_
_atom_site_label
_atom_site_fract_x
_atom_site_fract_y
_atom_site_fract_z
Y1 0.0000 0.0000 0.0000
Zr1 0.2340 0.0000 0.6371
Mo1 0.2597 0.5000 0.1805
Mo2 0.4636 0.0000 0.4504
C1 0.1163 0.5000 0.3334
C2 0.3412 0.0000 0.0631
C3 0.3745 0.5000 0.5636
# DFT total energy	-133.797	eV/cell

Record 4
# ZnMo2C | OQMD | PBE-GGA | relaxed
data_ZnMo2C
_chemical_formula_sum 'Zn12 Mo24 C12'
_cell_length_a 9.1120
_cell_length_b 5.2598
_cell_length_c 14.0082
_cell_angle_alpha 90.00
_cell_angle_beta 102.64
_cell_angle_gamma 90.00
_symmetry_space_group_name_H-M 'C 1 2/c 1'
_symmetry_Int_Tables_number 15
loop_
_symmetry_equiv_pos_as_xyz
'x,y,z'
'-x,-y,-z'
'-x,y,-z+1/2'
'x,-y,z+1/2'
'x+1/2,y+1/2,z'
'-x+1/2,-y+1/2,-z'
'-x+1/2,y+1/2,-z+1/2'
'x+1/2,-y+1/2,z+1/2'
loop_
_atom_site_label
_atom_site_fract_x
_atom_site_fract_y
_atom_site_fract_z
Zn1 0.0000 0.0610 0.2500
Zn2 0.2374 0.3465 0.2496
Mo1 0.0532 0.4167 0.9101
Mo2 0.1120 0.0827 0.0840
Mo3 0.2213 0.0836 0.4160
C1 0.0803 0.2587 0.5000
C2 0.2500 0.2500 0.0000
# DFT total energy	-384.376	eV/cell
# ΔE to the lowest computed polymorph	42	meV per atom

Record 5
# ZnMo2C | OQMD | PBE-GGA | relaxed
data_ZnMo2C
_chemical_formula_sum 'Zn2 Mo4 C2'
_cell_length_a 3.0300
_cell_length_b 3.0300
_cell_length_c 13.5049
_cell_angle_alpha 90.00
_cell_angle_beta 90.00
_cell_angle_gamma 120.00
_symmetry_space_group_name_H-M 'P 63/m m c'
_symmetry_Int_Tables_number 194
_symmetry_space_group_name_Hall '-P 6c 2c'
loop_
_atom_site_label
_atom_site_fract_x
_atom_site_fract_y
_atom_site_fract_z
Zn1 0.3333 0.6667 0.2500
Mo1 0.3333 0.6667 0.5878
C1 0.0000 0.0000 0.0000
# DFT total energy	-64.398	eV/cell
# ΔE to the lowest computed polymorph	0	meV per atom

Record 6
# ZnMo4C3 | OQMD | PBE-GGA | relaxed
data_ZnMo4C3
_chemical_formula_sum 'Zn2 Mo8 C6'
_cell_length_a 3.1019
_cell_length_b 3.1019
_cell_length_c 23.3824
_cell_angle_alpha 90.00
_cell_angle_beta 90.00
_cell_angle_gamma 120.00
_symmetry_space_group_name_H-M 'P 63/m m c'
_symmetry_Int_Tables_number 194
_symmetry_space_group_name_Hall '-P 6c 2c'
loop_
_atom_site_label
_atom_site_fract_x
_atom_site_fract_y
_atom_site_fract_z
Zn1 0.3333 0.6667 0.2500
Mo1 0.0000 0.0000 0.1544
Mo2 0.3333 0.6667 0.0564
C1 0.0000 0.0000 0.0000
C2 0.3333 0.6667 0.6108
# DFT total energy	-143.472	eV/cell